Entry 1:
5
Lattice="-1.706 -3.011 -2.545 3.084 0.878 -3.105 2.596 -2.945 1.745" Properties=species:S:1:pos:R:3 comment="TaMnCo2Ni, optimized geometry, DFT GGA-PBE" energy_ev_per_atom=-7.104 e_form_ev_per_fu=5.49 pbc="T T T"
Co 1.298 -1.473 0.872
Co -0.853 -1.506 -1.273
Mn 1.987 -2.539 -1.953
Ta 1.542 0.439 -1.553
Ni 0.000 0.000 0.000



Entry 2:
4
Lattice="-3.351 -2.143 0.961 -1.918 -2.196 -2.872 0.147 -4.088 0.112" Properties=species:S:1:pos:R:3 comment="MnCoTcNi, optimized geometry, DFT GGA-PBE" energy_ev_per_atom=-7.970 e_form_ev_per_fu=0.54 pbc="T T T"
Co -3.842 -6.320 -1.349
Mn -1.281 -2.107 -0.450
Tc -2.561 -4.214 -0.899
Ni 0.000 0.000 0.000



Entry 3:
10
Lattice="6.774 0.000 0.000 3.387 5.866 0.000 3.387 1.955 5.420" Properties=species:S:1:pos:R:3 comment="MnCo2NiTe6, optimized geometry, DFT GGA-PBE" energy_ev_per_atom=-4.935 pbc="T T T"
Co 3.387 1.955 5.363
Mn 10.160 5.866 2.788
Te 4.581 3.863 4.077
Te 7.911 2.035 4.077
Ni 3.387 1.955 0.118
Te 7.829 5.834 4.077
Te 9.018 3.957 1.350
Co 6.774 3.911 2.636
Te 5.691 1.945 1.350
Te 5.612 5.831 1.350



Entry 4:
18
Lattice="-7.568 4.191 8.125 -10.258 0.496 5.948 -6.940 -0.609 9.609" Properties=species:S:1:pos:R:3 comment="Th2MnCo12Ni3, optimized geometry, DFT GGA-PBE" energy_ev_per_atom=-6.751 e_form_ev_per_fu=5.11 pbc="T T T"
Co -13.088 1.332 13.912
Co -18.354 1.525 17.099
Co -16.985 3.404 18.206
Co -7.780 0.674 5.476
Th -8.912 1.468 8.522
Co -13.383 3.587 13.215
Mn 0.000 0.000 0.000
Co -10.118 2.227 11.490
Co -18.673 3.966 16.345
Co -6.411 2.553 6.583
Co -14.647 1.851 12.192
Ni -3.784 2.095 4.063
Co -11.382 0.491 10.467
Co -11.677 2.746 9.770
Th -15.854 2.611 15.160
Co -6.092 0.112 7.337
Ni -5.129 0.248 2.974
Ni -3.470 -0.304 4.804



Entry 5:
18
Lattice="-1.365 -4.976 7.767 2.925 -7.499 4.707 4.038 -2.760 7.938" Properties=species:S:1:pos:R:3 comment="Y2MnCo3Ni12, optimized geometry, DFT GGA-PBE" energy_ev_per_atom=-6.001 e_form_ev_per_fu=4.77 pbc="T T T"
Ni 3.523 -9.848 16.210
Ni 2.075 -5.386 4.202
Y 1.970 -5.360 7.182
Ni 5.945 -11.273 14.482
Co 1.462 -3.749 2.353
Ni 2.895 -12.523 14.385
Ni -0.347 -3.962 5.930
Ni 3.927 -7.433 11.636
Ni 2.703 -2.711 6.026
Ni 3.487 -9.307 10.358
Co -0.683 -2.488 3.883
Ni 1.790 -8.309 11.568
Y 3.629 -9.874 13.230
Mn 0.000 0.000 0.000
Co 2.019 -1.380 3.969
Ni 3.808 -6.925 8.844
Ni 2.111 -5.927 10.054
Ni 1.671 -7.801 8.776



Entry 6:
4
Lattice="4.061 0.000 0.000 2.031 3.517 0.000 2.031 1.172 3.316" Properties=species:S:1:pos:R:3 comment="MnZnCoNi, optimized geometry, DFT GGA-PBE" energy_ev_per_atom=-5.916 e_form_ev_per_fu=-0.33 pbc="T T T"
Ni 0.000 0.000 0.000
Co 4.061 2.345 1.658
Zn 2.031 1.172 0.829
Mn 6.092 3.517 2.487



Entry 7:
4
Lattice="4.334 0.000 0.000 2.167 3.753 0.000 2.167 1.251 3.563" Properties=species:S:1:pos:R:3 comment="NpMnCo2, optimized geometry, DFT GGA-PBE" energy_ev_per_atom=-8.973 e_form_ev_per_fu=0.43 e_above_lowest_polymorph_ev_per_fu=0.60 pbc="T T T"
Np 0.000 0.000 0.000
Co 2.167 1.251 0.825
Co 6.501 3.753 2.737
Mn 4.334 2.502 1.781



Entry 8:
4
Lattice="-1.769 -3.260 0.352 3.031 -1.807 -1.506 1.489 -0.428 3.511" Properties=species:S:1:pos:R:3 comment="NpMnCo2, optimized geometry, DFT GGA-PBE" energy_ev_per_atom=-9.122 e_form_ev_per_fu=-0.17 e_above_lowest_polymorph_ev_per_fu=0.00 pbc="T T T"
Co 0.744 -0.214 1.755
Co 1.516 -0.904 -0.753
Mn 1.376 -2.748 1.179
Np -0.884 -1.630 0.176



Entry 9:
3
Lattice="2.546 0.000 0.000 0.000 2.555 -0.212 -1.273 -1.841 6.762" Properties=species:S:1:pos:R:3 comment="NpMnCo, optimized geometry, DFT GGA-PBE" energy_ev_per_atom=-9.177 e_form_ev_per_fu=1.69 pbc="T T T"
Np 1.273 1.119 4.291
Mn 1.273 1.616 -0.048
Co 1.273 0.533 2.096



Entry 10:
12
Lattice="-2.546 3.098 0.311 -3.123 -2.790 2.224 3.330 2.013 7.203" Properties=species:S:1:pos:R:3 comment="NpMnCo10, optimized geometry, DFT GGA-PBE" energy_ev_per_atom=-7.645 e_form_ev_per_fu=1.42 pbc="T T T"
Co 0.392 2.556 3.757
Co 1.164 0.252 7.007
Co -1.122 0.966 7.189
Co 0.421 2.345 6.090
Co -2.835 0.154 1.268
Co -0.957 -1.029 2.420
Mn 0.104 -0.389 4.713
Np 0.000 0.000 0.000
Co -1.216 1.355 2.549
Co 1.137 0.687 2.459
Co 2.193 1.326 4.744
Co -2.760 -0.024 3.648



Entry 11:
4
Lattice="-2.716 1.043 -1.489 0.592 -2.024 -2.496 -2.835 -3.866 2.463" Properties=species:S:1:pos:R:3 comment="NpMnCo2, optimized geometry, DFT GGA-PBE" energy_ev_per_atom=-8.913 e_form_ev_per_fu=0.67 e_above_lowest_polymorph_ev_per_fu=0.84 pbc="T T T"
Co -2.083 -2.841 1.809
Mn -2.479 -2.424 -0.761
Co -0.752 -1.026 0.653
Np -1.062 -0.491 -1.993



Entry 12:
5
Lattice="-0.205 1.357 -3.530 2.987 -2.110 -0.985 -4.397 -3.300 1.018" Properties=species:S:1:pos:R:3 comment="NpMnCoP2, optimized geometry, DFT GGA-PBE" energy_ev_per_atom=-8.738 e_form_ev_per_fu=-3.65 pbc="T T T"
Mn -1.605 -1.159 -2.385
P 0.602 -1.341 -2.583
Co -0.009 -2.893 -1.112
Np 0.000 0.000 0.000
P -2.217 -2.711 -0.914



| no. | DOS(E_F) (states/eV/cell) | M_tot (μB/atom) | calculated density (kg/m³) |
| --- | --- | --- | --- |
| 1 | 7.76 | 1.37 | 8314 |
| 2 | 4.86 | 0.17 | 9270 |
| 3 | 8.57 | 0.36 | 7688 |
| 4 | 22.45 | 1.23 | 9120 |
| 5 | 21.28 | 0.77 | 7198 |
| 6 | 2.48 | 1.05 | 8342 |
| 7 | 4.79 | 0.39 | 11743 |
| 8 | 2.57 | 0.37 | 12405 |
| 9 | 4.89 | 0.59 | 13550 |
| 10 | 19.93 | 1.29 | 9373 |
| 11 | 5.75 | 0.47 | 11823 |
| 12 | 9.44 | 0.74 | 9738 |